(1)
# Nd4In3Rh

An optimized crystal structure of Nd4In3Rh (PBE-GGA, Alexandria via LeMat-Bulk).

Results
**ΔH_f (0 K)**: -522 meV/atom
**Theoretical density**: 7.764 g cm⁻³
**Calculated total energy**: -4.852 eV per atom
**DOS at the Fermi energy**: 5.64 states/eV per cell

```
Nd4In3Rh
1.0
3.6515 0.0000 0.0000
0.0000 3.6515 0.0000
0.0000 0.0000 16.4304
Nd In Rh
4 3 1
Direct
0.0000 0.0000 0.8976
0.0000 0.0000 0.6321
0.0000 0.0000 0.1024
0.0000 0.0000 0.3679
0.5000 0.5000 0.2382
0.5000 0.5000 0.5000
0.5000 0.5000 0.7618
0.5000 0.5000 0.0000
```

(2)
# La6AlCo2

An optimized crystal structure of La6AlCo2 (PBE-GGA, Alexandria via LeMat-Bulk).

Results
**ΔH_f (0 K)**: -190 meV/atom
**Theoretical density**: 6.374 g cm⁻³
**Calculated total energy**: -5.470 eV per atom
**DOS at the Fermi energy**: 17.96 states/eV per cell

```
La6AlCo2
1.0
8.2601 -0.1735 -2.8402
-4.5446 7.0608 -2.4120
0.0720 0.1735 8.7344
Co La Al
4 12 2
Direct
0.7341 0.0000 0.7341
0.5000 0.6441 0.1441
0.2659 0.0000 0.2659
0.5000 0.3559 0.8559
0.1254 0.2972 0.8282
0.6858 0.0190 0.3331
0.1964 0.7707 0.9671
0.4690 0.2972 0.1718
0.1964 0.2293 0.4257
0.8036 0.2293 0.0329
0.3142 0.9810 0.6669
0.8036 0.7707 0.5743
0.3142 0.6473 0.3331
0.5310 0.7028 0.8282
0.8746 0.7028 0.1718
0.6858 0.3527 0.6669
0.0000 0.5000 0.5000
0.0000 0.0000 0.0000
```

(3)
# CeYCdCo

An optimized crystal structure of CeYCdCo (PBE-GGA, Alexandria via LeMat-Bulk).

Results
**ΔH_f (0 K)**: -38 meV/atom
**Theoretical density**: 7.125 g cm⁻³
**Calculated total energy**: -5.143 eV per atom
**DOS at the Fermi energy**: 6.85 states/eV per cell

```
CeYCdCo
1.0
-4.2307 -0.3408 2.8114
-1.9228 -4.5685 1.1624
0.2540 -1.7268 4.7826
Y Co Ce Cd
1 1 1 1
Direct
0.0000 0.0000 0.0000
0.2500 0.2500 0.2500
0.5000 0.5000 0.5000
0.7500 0.7500 0.7500
```

(4)
# Ho6SbP2S3

An optimized crystal structure of Ho6SbP2S3 (PBE-GGA, Alexandria via LeMat-Bulk).

Results
**Theoretical density**: 7.699 g cm⁻³
**Energy relative to the elements, uncorrected**: -166 kJ per mole of atoms
**Calculated total energy**: -6.284 eV per atom
**DOS at the Fermi energy**: 3.86 states/eV per cell

```
Ho6SbP2S3
1.0
-0.9340 1.9610 3.3627
2.7822 -6.1527 4.3609
7.5298 4.0493 -2.6528
P S Sb Ho
2 3 1 6
Direct
0.1677 0.3357 0.3354
0.8323 0.6643 0.6646
0.1644 0.8328 0.3288
0.8356 0.1672 0.6712
0.5000 0.5000 0.0000
0.5000 0.0000 0.0000
0.6742 0.0988 0.3485
0.3258 0.9012 0.6515
0.3300 0.4215 0.6601
0.6700 0.5785 0.3399
0.0041 0.2710 0.0081
0.9959 0.7290 0.9919
```

(5)
# Mg2TiPt3

An optimized crystal structure of Mg2TiPt3 (PBE-GGA, Alexandria via LeMat-Bulk).

Results
**ΔH_f (0 K)**: -901 meV/atom
**Theoretical density**: 11.914 g cm⁻³
**Calculated total energy**: -5.768 eV per atom
**DOS at the Fermi energy**: 2.78 states/eV per cell

```
Mg2TiPt3
1.0
2.9507 0.0000 0.0000
0.0000 2.9507 0.0000
0.0000 0.0000 10.9128
Pt Mg Ti
3 2 1
Direct
0.0000 0.0000 0.3370
0.0000 0.0000 0.0000
0.0000 0.0000 0.6630
0.5000 0.5000 0.8363
0.5000 0.5000 0.1637
0.5000 0.5000 0.5000
```

(6)
# K5Na4In2

An optimized crystal structure of K5Na4In2 (PBE-GGA, Alexandria via LeMat-Bulk).

Results
**ΔH_f (0 K)**: 20 meV/atom
**Theoretical density**: 1.659 g cm⁻³
**Energy above the most stable polymorph in this dataset**: 25 meV/atom
**Calculated total energy**: -1.456 eV per atom
**DOS at the Fermi energy**: 6.35 states/eV per cell

```
K5Na4In2
1.0
-2.5249 0.7248 3.0914
-1.4214 -10.4370 1.2861
11.2433 4.5358 5.4580
Na K In
4 5 2
Direct
0.2798 0.2798 0.5597
0.0000 0.3366 0.0000
0.7202 0.7202 0.4403
0.0000 0.6634 0.0000
0.1486 0.3754 0.2973
0.8514 0.0781 0.7027
0.8514 0.6246 0.7027
0.1486 0.9219 0.2973
0.5000 0.0000 0.0000
0.5817 0.5817 0.1634
0.4183 0.4183 0.8366
```

(7)
# LiPr2Ir9

An optimized crystal structure of LiPr2Ir9 (PBE-GGA, Alexandria via LeMat-Bulk).

Results
**ΔH_f (0 K)**: -247 meV/atom
**Theoretical density**: 15.329 g cm⁻³
**Calculated total energy**: -7.848 eV per atom
**DOS at the Fermi energy**: 11.97 states/eV per cell

```
LiPr2Ir9
1.0
5.3491 0.0000 0.0000
2.6746 4.6325 0.0000
2.6746 1.5442 8.8248
Ir Pr Li
9 2 1
Direct
0.4216 0.9166 0.2402
0.5000 0.5000 0.5000
0.5784 0.0834 0.7598
0.9166 0.4216 0.2402
0.0834 0.5784 0.7598
0.6678 0.6678 0.9966
0.4216 0.4216 0.2402
0.3322 0.3322 0.0034
0.5784 0.5784 0.7598
0.1363 0.1363 0.5912
0.8637 0.8637 0.4088
0.0000 0.0000 0.0000
```

(8)
# Cd2TcBr

An optimized crystal structure of Cd2TcBr (PBE-GGA, Alexandria via LeMat-Bulk).

Results
**Theoretical density**: 7.780 g cm⁻³
**Energy relative to the elements, uncorrected**: 32 kJ per mole of atoms
**Energy above the most stable polymorph in this dataset**: 93 meV/atom
**Calculated total energy**: -3.130 eV per atom
**DOS at the Fermi energy**: 2.12 states/eV per cell

```
Cd2TcBr
1.0
-1.2478 -2.9660 -0.5542
2.3068 -0.5512 -2.2441
4.8027 -3.0846 5.6944
Br Cd Tc
1 2 1
Direct
0.5000 0.5000 0.7500
0.0000 0.0000 0.4707
0.0000 0.0000 0.0293
0.5000 0.5000 0.2500
```

(9)
# SnPbIF2

An optimized crystal structure of SnPbIF2 (PBE-GGA, Alexandria via LeMat-Bulk).

Results
**Theoretical density**: 5.921 g cm⁻³
**Energy relative to the elements, uncorrected**: -125 kJ per mole of atoms
**Calculated total energy**: -3.894 eV per atom
**DOS at the Fermi energy**: 0.78 states/eV per cell

```
SnPbIF2
1.0
-2.9867 -2.9867 1.9411
3.8420 -0.5601 5.0497
-2.1971 3.5386 2.0641
F I Pb Sn
2 1 1 1
Direct
0.0000 0.0000 0.5000
0.5000 0.0000 0.0000
0.5000 0.5000 0.5000
0.0000 0.0000 0.0000
0.0000 0.5000 0.0000
```

(10)
# MnFeSi2

An optimized crystal structure of MnFeSi2 (PBE-GGA, Alexandria via LeMat-Bulk).

Results
**Theoretical density**: 6.235 g cm⁻³
**Energy relative to the elements, uncorrected**: -35 kJ per mole of atoms
**Calculated total energy**: -7.485 eV per atom
**DOS at the Fermi energy**: 3.58 states/eV per cell

```
MnFeSi2
1.0
4.4430 -0.0009 0.0094
3.6250 2.5689 0.0094
1.1585 0.3688 3.8970
Mn Si Fe
1 2 1
Direct
0.7478 0.7478 0.8170
0.0023 0.0023 0.9377
0.2461 0.2461 0.3141
0.5037 0.5037 0.4312
```

(11)
# KYMn2

An optimized crystal structure of KYMn2 (PBE-GGA, Alexandria via LeMat-Bulk).

Results
**ΔH_f (0 K)**: 610 meV/atom
**Theoretical density**: 3.333 g cm⁻³
**Energy above the most stable polymorph in this dataset**: 135 meV/atom
**Calculated total energy**: -5.865 eV per atom
**DOS at the Fermi energy**: 3.99 states/eV per cell

```
KYMn2
1.0
-1.5349 -3.3534 -1.3087
1.4674 -1.8125 2.9234
-5.2781 -0.3819 7.1693
Mn K Y
2 1 1
Direct
0.0000 0.5852 0.4155
0.0000 0.9148 0.0845
0.5000 0.7500 0.7500
0.5000 0.2500 0.2500
```

(12)
# U2S2O

An optimized crystal structure of U2S2O (PBE-GGA, Alexandria via LeMat-Bulk).

Results
**Theoretical density**: 8.378 g cm⁻³
**Energy relative to the elements, uncorrected**: -162 kJ per mole of atoms
**Calculated total energy**: -8.833 eV per atom
**DOS at the Fermi energy**: 7.26 states/eV per cell

```
U2S2O
1.0
3.6931 0.0000 0.0000
1.8466 3.1984 0.0000
1.8466 1.0661 9.3322
S O U
2 1 2
Direct
0.7686 0.7686 0.6942
0.2314 0.2314 0.3058
0.0000 0.0000 0.0000
0.6213 0.6213 0.1362
0.3787 0.3787 0.8638
```

(13)
# IrPt5

An optimized crystal structure of IrPt5 (PBE-GGA, Alexandria via LeMat-Bulk).

Results
**ΔH_f (0 K)**: 493 meV/atom
**Theoretical density**: 19.427 g cm⁻³
**Energy above the most stable polymorph in this dataset**: 465 meV/atom
**Calculated total energy**: -6.018 eV per atom
**DOS at the Fermi energy**: 8.32 states/eV per cell

```
IrPt5
1.0
0.0000 3.6816 3.6816
3.6816 0.0000 3.6816
3.6816 3.6816 0.0000
Pt Ir
5 1
Direct
0.8751 0.3750 0.3750
0.3750 0.3750 0.8751
0.7500 0.7500 0.7500
0.3750 0.3750 0.3750
0.3750 0.8751 0.3750
0.0000 0.0000 0.0000
```

(14)
# SmCoS

An optimized crystal structure of SmCoS (PBE-GGA, Alexandria via LeMat-Bulk).

Results
**Theoretical density**: 6.113 g cm⁻³
**Energy relative to the elements, uncorrected**: -85 kJ per mole of atoms
**Calculated total energy**: -6.194 eV per atom
**DOS at the Fermi energy**: 3.39 states/eV per cell

```
SmCoS
1.0
4.2091 0.0000 0.0000
-2.1045 4.1232 -0.3857
0.0000 -2.1689 7.7579
Sm S Co
2 2 2
Direct
0.4219 0.8439 0.7479
0.5781 0.1561 0.2521
0.2949 0.5897 0.3501
0.7051 0.4103 0.6499
0.7956 0.5912 0.9648
0.2044 0.4088 0.0352
```

(15)
# NaCdRhAu

An optimized crystal structure of NaCdRhAu (PBE-GGA, Alexandria via LeMat-Bulk).

Results
**ΔH_f (0 K)**: -33 meV/atom
**Theoretical density**: 9.965 g cm⁻³
**Calculated total energy**: -3.249 eV per atom
**DOS at the Fermi energy**: 1.90 states/eV per cell

```
NaCdRhAu
1.0
4.6812 0.0000 0.0000
2.3406 4.0540 0.0000
2.3406 1.3513 3.8222
Na Au Rh Cd
1 1 1 1
Direct
0.0000 0.0000 0.0000
0.2500 0.2500 0.2500
0.5000 0.5000 0.5000
0.7500 0.7500 0.7500
```

(16)
# RePRuCl2

An optimized crystal structure of RePRuCl2 (PBE-GGA, Alexandria via LeMat-Bulk).

Results
**Theoretical density**: 6.011 g cm⁻³
**Energy relative to the elements, uncorrected**: 118 kJ per mole of atoms
**Energy above the most stable polymorph in this dataset**: 80 meV/atom
**Calculated total energy**: -4.946 eV per atom
**DOS at the Fermi energy**: 3.73 states/eV per cell

```
RePRuCl2
1.0
4.8510 0.0000 0.0000
0.0000 4.8510 0.0000
0.0000 0.0000 4.5682
Re Cl P Ru
1 2 1 1
Direct
0.5000 0.5000 0.5000
0.0000 0.5000 0.0000
0.5000 0.0000 0.0000
0.0000 0.0000 0.5000
0.0000 0.0000 0.0000
```

(17)
# La2NiAg3

An optimized crystal structure of La2NiAg3 (PBE-GGA, Alexandria via LeMat-Bulk).

Results
**ΔH_f (0 K)**: -255 meV/atom
**Theoretical density**: 7.589 g cm⁻³
**Calculated total energy**: -4.286 eV per atom
**DOS at the Fermi energy**: 4.78 states/eV per cell

```
La2NiAg3
1.0
-1.7600 1.8500 -2.8177
2.8297 -2.1730 -3.1942
-5.2411 -5.9220 -0.6144
Ag La Ni
3 2 1
Direct
0.5000 0.0000 0.1777
0.5000 0.0000 0.8315
0.5000 0.5000 0.6537
0.0000 0.5000 0.0323
0.0000 0.0000 0.4864
0.5000 0.5000 0.3185
```

(18)
# Li2LaCo

An optimized crystal structure of Li2LaCo (PBE-GGA, Alexandria via LeMat-Bulk).

Results
**ΔH_f (0 K)**: 166 meV/atom
**Theoretical density**: 4.414 g cm⁻³
**Energy above the most stable polymorph in this dataset**: 36 meV/atom
**Calculated total energy**: -3.799 eV per atom
**DOS at the Fermi energy**: 5.05 states/eV per cell

```
Li2LaCo
1.0
-1.6715 -2.2105 -2.6667
2.7448 0.9609 -2.5169
6.4527 -9.0168 0.6561
La Li Co
2 4 2
Direct
0.0000 0.0000 0.0000
0.7500 0.2500 0.5000
0.3750 0.8209 0.7500
0.1791 0.1250 0.2500
0.8750 0.4291 0.7500
0.5709 0.6250 0.2500
0.5000 0.5000 0.0000
0.2500 0.7500 0.5000
```

(19)
# Rb2Cl3

An optimized crystal structure of Rb2Cl3 (PBE-GGA, Alexandria via LeMat-Bulk).

Results
**Theoretical density**: 1.973 g cm⁻³
**Energy relative to the elements, uncorrected**: -116 kJ per mole of atoms
**Calculated total energy**: -2.696 eV per atom
**DOS at the Fermi energy**: 32.82 states/eV per cell

```
Rb2Cl3
1.0
8.7073 0.0000 0.0000
0.0000 8.7073 0.0000
4.3536 4.3536 6.1567
Rb Cl
4 6
Direct
0.5000 0.5000 0.0000
0.7500 0.2500 0.5000
0.0000 0.0000 0.0000
0.2500 0.7500 0.5000
0.7500 0.2500 0.0000
0.2500 0.7500 0.0000
0.7500 0.7500 0.0000
0.7500 0.7500 0.5000
0.2500 0.2500 0.5000
0.2500 0.2500 0.0000
```

(20)
# Rb2VBr

An optimized crystal structure of Rb2VBr (PBE-GGA, Alexandria via LeMat-Bulk).

Results
**Theoretical density**: 2.289 g cm⁻³
**Energy relative to the elements, uncorrected**: 23 kJ per mole of atoms
**Energy above the most stable polymorph in this dataset**: 0 meV/atom
**Calculated total energy**: -2.941 eV per atom
**DOS at the Fermi energy**: 13.28 states/eV per cell

```
Rb2VBr
1.0
9.5507 0.0000 0.0000
0.0000 9.5507 0.0000
4.7753 4.7753 4.8002
V Rb Br
2 4 2
Direct
0.2500 0.7500 0.5000
0.5000 0.5000 0.0000
0.0811 0.6250 0.2500
0.8750 0.9189 0.7500
0.6689 0.1250 0.2500
0.3750 0.3311 0.7500
0.0000 0.0000 0.0000
0.7500 0.2500 0.5000
```